The following is a DFT calculation (PBE+U) of a relaxed structure of TaVRuO6.

```
TaVRuO6
1.0
-2.118 3.581 -2.958
-2.833 -3.871 1.747
-2.020 4.700 7.136
O V Ta Ru
12 2 2 2
Direct
0.671 0.666 0.127 O
0.666 0.671 0.627 O
0.671 0.005 0.373 O
0.329 0.995 0.627 O
0.005 0.334 0.627 O
0.334 0.005 0.127 O
0.005 0.671 0.873 O
0.995 0.329 0.127 O
0.334 0.329 0.373 O
0.995 0.666 0.373 O
0.329 0.334 0.873 O
0.666 0.995 0.873 O
0.667 0.333 0.750 V
0.333 0.667 0.250 V
0.333 0.667 0.750 Ta
0.667 0.333 0.250 Ta
0.000 0.000 0.000 Ru
0.000 0.000 0.500 Ru
```

Results
VASP energy = -8.368 eV per atom
SG = P-31c, No. 163
Total magnetization = 0.0 μB per formula unit